Here is a relaxed structure of MnSbTe2N from Alexandria via LeMat-Bulk. Energies are from PBE.

Cell: 5.820 5.820 3.931 Å, 90.00 90.00 90.00°
Sites, in units of the cell vectors:
Te1 0.000 0.500 0.000
Te2 0.500 0.000 0.000
N1 0.000 0.000 0.500
Sb1 0.000 0.000 0.000
Mn1 0.500 0.500 0.500

As for the space group: P4/mmm, No. 123. Its uncorrected formation energy is 92 kJ/mol of atoms. The energy above the lowest structure with this stoichiometry is 744 meV per atom. The total magnetic moment comes out at 4.7 μB/f.u. The theoretical density comes out at 5.6 g/cm3.

Here is a relaxed structure of MnSbTe2N from Alexandria via LeMat-Bulk. Energies are from PBE.

Cell: 5.444 5.444 3.562 Å, 90.00 90.00 90.00°
Sites, in units of the cell vectors:
Te1 0.500 0.000 0.000
Te2 0.000 0.500 0.000
N1 0.000 0.000 0.500
Sb1 0.500 0.500 0.500
Mn1 0.000 0.000 0.000

As for the space group: P4/mmm, No. 123. Its uncorrected formation energy is 20 kJ/mol of atoms. The energy above the lowest structure with this stoichiometry is 0 meV per atom. The total magnetic moment comes out at 1.6 μB/f.u. The theoretical density comes out at 7.0 g/cm3.

Copy entry 1 word for word.
Here is a relaxed structure of MnSbTe2N from Alexandria via LeMat-Bulk. Energies are from PBE.

Cell: 5.820 5.820 3.931 Å, 90.00 90.00 90.00°
Sites, in units of the cell vectors:
Te1 0.000 0.500 0.000
Te2 0.500 0.000 0.000
N1 0.000 0.000 0.500
Sb1 0.000 0.000 0.000
Mn1 0.500 0.500 0.500

As for the space group: P4/mmm, No. 123. Its uncorrected formation energy is 92 kJ/mol of atoms. The energy above the lowest structure with this stoichiometry is 744 meV per atom. The total magnetic moment comes out at 4.7 μB/f.u. The theoretical density comes out at 5.6 g/cm3.